[1]
! BaZnSn, relaxed, DFT GGA-PBE; values from VASP
! Magnetization = 0.0 μB/cell
! Space-group type = I4_1md (109)
! V = 32.0 Å³/atom
! ΔE_f = -1.42 eV/f.u.
&SYSTEM
  ibrav = 0, nat = 6, ntyp = 3
/
ATOMIC_SPECIES
Ba 137.33 Ba.upf
Zn 65.41 Zn.upf
Sn 118.71 Sn.upf
CELL_PARAMETERS angstrom
-2.4109 2.4109 8.2458
2.4109 -2.4109 8.2458
2.4109 2.4109 -8.2458
ATOMIC_POSITIONS crystal
Ba 0.0000 0.0000 0.0000
Ba 0.7500 0.2500 0.5000
Zn 0.1646 0.6646 0.5000
Zn 0.4146 0.4146 0.0000
Sn 0.3326 0.8326 0.5000
Sn 0.5826 0.5826 0.0000



[2]
! Ba7Zn2Sn2, relaxed, DFT GGA-PBE; values from VASP
! Magnetization = 0.0 μB/cell
! Space-group type = Cmmm (65)
! V = 44.7 Å³/atom
! ΔE_f = -2.00 eV/f.u.
&SYSTEM
  ibrav = 0, nat = 11, ntyp = 3
/
ATOMIC_SPECIES
Ba 137.33 Ba.upf
Zn 65.41 Zn.upf
Sn 118.71 Sn.upf
CELL_PARAMETERS angstrom
4.5554 -6.4581 0.0000
4.5554 6.4581 0.0000
0.0000 0.0000 8.3559
ATOMIC_POSITIONS crystal
Ba 0.0000 0.0000 0.0000
Ba 0.0000 0.5000 0.2748
Ba 0.0000 0.5000 0.7252
Ba 0.5000 0.0000 0.2748
Ba 0.5000 0.0000 0.7252
Ba 0.5000 0.5000 0.2592
Ba 0.5000 0.5000 0.7408
Zn 0.2927 0.7073 0.0000
Zn 0.7073 0.2927 0.0000
Sn 0.1622 0.1622 0.5000
Sn 0.8378 0.8378 0.5000



[3]
! BaZnSn, relaxed, DFT GGA-PBE; values from VASP
! Magnetization = 0.0 μB/cell
! Space-group type = P6_3mc (186)
! V = 32.3 Å³/atom
! ΔE_f = -1.57 eV/f.u.
&SYSTEM
  ibrav = 0, nat = 6, ntyp = 3
/
ATOMIC_SPECIES
Ba 137.33 Ba.upf
Zn 65.41 Zn.upf
Sn 118.71 Sn.upf
CELL_PARAMETERS angstrom
4.7373 0.0000 0.0000
-2.3687 4.1027 0.0000
0.0000 0.0000 9.9590
ATOMIC_POSITIONS crystal
Ba 0.0000 0.0000 0.0000
Ba 0.0000 0.0000 0.5000
Zn 0.3333 0.6667 0.2494
Zn 0.6667 0.3333 0.7494
Sn 0.3333 0.6667 0.7501
Sn 0.6667 0.3333 0.2501